A relaxed NaMnCl6 crystal. Source: the Alexandria database, functional GGA-PBE.

Unit cell a=6.481 b=6.485 c=6.684 alpha=60.98 beta=60.98 gamma=60.00
Site moments in Bohr magnetons follow the coordinates.
Fractional positions:
Na 0.500 0.500 0.500  0.00
Mn 0.000 0.000 0.000  2.81
Cl 0.037 0.384 0.767  -0.14
Cl 0.811 0.037 0.768  -0.14
Cl 0.616 0.188 0.233  -0.14
Cl 0.189 0.963 0.232  -0.14
Cl 0.963 0.616 0.233  -0.14
Cl 0.384 0.812 0.767  -0.14

Results
- calculated volume (Å³/atom) = 25.19
- magnetic moment (μB per formula unit) = 1.91
- formation energy without anion corrections (kJ/mol of formula units) = -658
- E_tot (eV per atom) = -3.5485
- distance to the lowest polymorph of the same formula (eV per atom) = 0.000

***

A relaxed Na3MnCl crystal. Source: the Alexandria database, functional GGA-PBE.

Unit cell a=5.377 b=5.377 c=5.377 alpha=90.00 beta=90.00 gamma=90.00
Site moments in Bohr magnetons follow the coordinates.
Fractional positions:
Na 0.000 0.500 0.000  0.00
Na 0.000 0.000 0.500  0.00
Na 0.500 0.000 0.000  0.00
Mn 0.500 0.500 0.500  4.31
Cl 0.000 0.000 0.000  0.01

Results
- calculated volume (Å³/atom) = 31.09
- magnetic moment (μB per formula unit) = 4.85
- formation energy without anion corrections (kJ/mol of formula units) = -38
- E_tot (eV per atom) = -3.0738
- distance to the lowest polymorph of the same formula (eV per atom) = 0.000

***

A relaxed Na6MnCl12 crystal. Source: the Alexandria database, functional GGA-PBE.

Unit cell a=7.938 b=7.938 c=7.938 alpha=94.80 beta=94.80 gamma=94.80
Site moments in Bohr magnetons follow the coordinates.
Fractional positions:
Na 0.155 0.303 0.647  0.00
Na 0.697 0.353 0.845  0.00
Na 0.353 0.845 0.697  0.00
Na 0.845 0.697 0.353  0.00
Na 0.303 0.647 0.155  0.00
Na 0.647 0.155 0.303  0.00
Mn 0.000 0.000 0.000  2.92
Cl 0.459 0.166 0.587  0.26
Cl 0.166 0.587 0.459  0.26
Cl 0.587 0.459 0.166  0.26
Cl 0.541 0.834 0.413  0.26
Cl 0.834 0.413 0.541  0.26
Cl 0.413 0.541 0.834  0.26
Cl 0.011 0.963 0.711  -0.01
Cl 0.289 0.989 0.037  -0.01
Cl 0.037 0.289 0.989  -0.01
Cl 0.989 0.037 0.289  -0.01
Cl 0.711 0.011 0.963  -0.01
Cl 0.963 0.711 0.011  -0.01

Results
- calculated volume (Å³/atom) = 26.03
- magnetic moment (μB per formula unit) = 5.02
- formation energy without anion corrections (kJ/mol of formula units) = -2300
- E_tot (eV per atom) = -3.3200

***

A relaxed Na2MnCl4 crystal. Source: the Alexandria database, functional GGA-PBE.

Unit cell a=5.032 b=5.032 c=7.923 alpha=71.48 beta=71.48 gamma=90.00
Site moments in Bohr magnetons follow the coordinates.
Fractional positions:
Na 0.363 0.363 0.274  0.00
Na 0.637 0.637 0.726  0.00
Mn 0.000 0.000 0.000  4.42
Cl 0.174 0.174 0.651  0.04
Cl 0.826 0.826 0.349  0.04
Cl 0.000 0.500 0.000  0.06
Cl 0.500 0.000 0.000  0.06

Results
- calculated volume (Å³/atom) = 25.61
- magnetic moment (μB per formula unit) = 5.00
- formation energy without anion corrections (kJ/mol of formula units) = -945
- E_tot (eV per atom) = -4.1410
- distance to the lowest polymorph of the same formula (eV per atom) = 0.107